First-principles (PBE) data for a relaxed structure of Mn2CrAs, as listed in Alexandria.

Summary:
E_tot   -65.17 eV per cell
M_tot   2.273 μB per formula unit
ΔE_f   0.01 eV per atom

Geometry as extended XYZ:
```
8
Lattice="3.634 0.000 0.000 0.000 3.647 0.000 0.000 0.000 7.471" Properties=species:S:1:pos:R:3 pbc="T T T"
Mn 0.000 0.000 0.000
Mn 0.000 1.823 1.867
Mn 1.817 0.000 5.602
Mn 1.817 1.823 3.736
Cr 0.000 1.823 5.603
Cr 1.817 0.000 1.867
As 0.000 0.000 3.735
As 1.817 1.823 7.471
```